No. 1
HfTiHgN: optimized geometry, GGA-PBE.

## Properties
E_form (uncorrected) (eV per atom): -0.9480
D(E_F) (states/eV/cell): 2.244

Structure (CIF):
```
data_HfTiHgN
_chemical_formula_sum 'Hf1 Ti1 Hg1 N1'
_cell_length_a 3.199
_cell_length_b 3.199
_cell_length_c 7.344
_cell_angle_alpha 90.00
_cell_angle_beta 102.67
_cell_angle_gamma 120.00
_symmetry_space_group_name_H-M 'P 1'
_symmetry_Int_Tables_number 1
loop_
_symmetry_equiv_pos_as_xyz
'x,y,z'
loop_
_atom_site_label
_atom_site_type_symbol
_atom_site_fract_x
_atom_site_fract_y
_atom_site_fract_z
_atom_site_occupancy
Hf1 Hf 0.078 0.937 0.029 1
Hg1 Hg 0.975 0.386 0.374 1
N1 N 0.297 0.547 0.860 1
Ti1 Ti 0.528 0.162 0.706 1
```

No. 2
Hf2TiHgN: optimized geometry, GGA-PBE.

## Properties
E_form (uncorrected) (eV per atom): -0.8002
D(E_F) (states/eV/cell): 3.133

Structure (CIF):
```
data_Hf2TiHgN
_chemical_formula_sum 'Hf2 Ti1 Hg1 N1'
_cell_length_a 4.463
_cell_length_b 4.463
_cell_length_c 4.170
_cell_angle_alpha 90.00
_cell_angle_beta 90.00
_cell_angle_gamma 90.00
_symmetry_space_group_name_H-M 'P 1'
_symmetry_Int_Tables_number 1
loop_
_symmetry_equiv_pos_as_xyz
'x,y,z'
loop_
_atom_site_label
_atom_site_type_symbol
_atom_site_fract_x
_atom_site_fract_y
_atom_site_fract_z
_atom_site_occupancy
Hf1 Hf 0.500 0.000 0.000 1
Ti1 Ti 0.000 0.000 0.500 1
Hg1 Hg 0.500 0.500 0.500 1
N1 N 0.000 0.000 0.000 1
Hf2 Hf 0.000 0.500 0.000 1
```

No. 3
Hf2VHgN: optimized geometry, GGA-PBE.

## Properties
E_form (uncorrected) (eV per atom): -0.6773
D(E_F) (states/eV/cell): 2.545

Structure (CIF):
```
data_Hf2VHgN
_chemical_formula_sum 'Hf2 V1 Hg1 N1'
_cell_length_a 4.535
_cell_length_b 4.535
_cell_length_c 3.908
_cell_angle_alpha 90.00
_cell_angle_beta 90.00
_cell_angle_gamma 90.00
_symmetry_space_group_name_H-M 'P 1'
_symmetry_Int_Tables_number 1
loop_
_symmetry_equiv_pos_as_xyz
'x,y,z'
loop_
_atom_site_label
_atom_site_type_symbol
_atom_site_fract_x
_atom_site_fract_y
_atom_site_fract_z
_atom_site_occupancy
Hf1 Hf 0.500 0.000 0.000 1
Hf2 Hf 0.000 0.500 0.000 1
N1 N 0.000 0.000 0.000 1
V1 V 0.000 0.000 0.500 1
Hg1 Hg 0.500 0.500 0.500 1
```

No. 4
HfZr2HgN: optimized geometry, GGA-PBE.

## Properties
E_form (uncorrected) (eV per atom): -0.8043
D(E_F) (states/eV/cell): 3.278

Structure (CIF):
```
data_HfZr2HgN
_chemical_formula_sum 'Hf1 Zr2 Hg1 N1'
_cell_length_a 4.535
_cell_length_b 4.535
_cell_length_c 4.406
_cell_angle_alpha 90.00
_cell_angle_beta 90.00
_cell_angle_gamma 90.00
_symmetry_space_group_name_H-M 'P 1'
_symmetry_Int_Tables_number 1
loop_
_symmetry_equiv_pos_as_xyz
'x,y,z'
loop_
_atom_site_label
_atom_site_type_symbol
_atom_site_fract_x
_atom_site_fract_y
_atom_site_fract_z
_atom_site_occupancy
Zr1 Zr 0.000 0.500 0.000 1
Hf1 Hf 0.000 0.000 0.500 1
Hg1 Hg 0.500 0.500 0.500 1
Zr2 Zr 0.500 0.000 0.000 1
N1 N 0.000 0.000 0.000 1
```